Record 1
Material: Ac2ZnIn2
Method: DFT, PBE
State: relaxed

a = 5.0009 Å, b = 6.4145 Å, c = 10.8012 Å
α = 85.77°, β = 76.61°, γ = 67.06°
Fractional positions:
In 0.3640 0.1497 0.1223
In 0.9140 0.7338 0.4382
In 0.6360 0.8503 0.8777
In 0.0860 0.2662 0.5618
Ac 0.0830 0.7337 0.1003
Ac 0.6804 0.3033 0.3358
Ac 0.3196 0.6967 0.6642
Ac 0.9170 0.2663 0.8997
Zn 0.6241 0.1005 0.6513
Zn 0.3759 0.8995 0.3487

Space-group type ... No. 12
ΔH_f (0 K) ... -2.080 eV per formula unit


Record 2
Material: AcZn4In12
Method: DFT, PBE
State: relaxed

a = 8.3769 Å, b = 8.3769 Å, c = 8.3769 Å
α = 109.47°, β = 109.47°, γ = 109.47°
Fractional positions:
In 0.8410 0.6526 0.4937
In 0.4937 0.8410 0.6526
In 0.8116 0.1590 0.6526
In 0.6526 0.4937 0.8410
In 0.3474 0.5063 0.1590
In 0.5063 0.1590 0.3474
In 0.1590 0.3474 0.5063
In 0.1590 0.6526 0.8116
In 0.3474 0.1884 0.8410
In 0.1884 0.8410 0.3474
In 0.8410 0.3474 0.1884
In 0.6526 0.8116 0.1590
Zn 0.5000 0.0000 0.0000
Zn 0.0000 0.0000 0.5000
Zn 0.0000 0.5000 0.0000
Zn 0.5000 0.5000 0.5000
Ac 0.0000 0.0000 0.0000

Space-group type ... No. 204
ΔH_f (0 K) ... 0.373 eV per formula unit


Record 3
Material: Ac4Zn5In2
Method: DFT, PBE
State: relaxed

a = 5.0149 Å, b = 7.2780 Å, c = 8.7438 Å
α = 90.03°, β = 90.00°, γ = 90.00°
Fractional positions:
Zn 0.0000 0.5454 0.3321
Zn 0.0000 0.4546 0.6679
Zn 0.0000 0.7817 0.8505
Zn 0.0000 0.5000 0.0000
Zn 0.0000 0.2183 0.1495
Ac 0.5000 0.7425 0.5875
Ac 0.5000 0.2399 0.8820
Ac 0.5000 0.7601 0.1180
Ac 0.5000 0.2575 0.4125
In 0.0000 0.0710 0.6585
In 0.0000 0.9290 0.3415

Space-group type ... No. 10
ΔH_f (0 K) ... -2.339 eV per formula unit


Record 4
Material: Ac2ZnIn
Method: DFT, PBE
State: relaxed

a = 3.9717 Å, b = 3.9717 Å, c = 8.1644 Å
α = 90.00°, β = 90.00°, γ = 90.00°
Fractional positions:
Ac 0.0000 0.0000 0.2337
Ac 0.0000 0.0000 0.7663
In 0.5000 0.5000 0.5000
Zn 0.5000 0.5000 0.0000

Space-group type ... No. 123
ΔH_f (0 K) ... -1.304 eV per formula unit


Record 5
Material: Ac3ZnIn2
Method: DFT, PBE
State: relaxed

a = 5.7250 Å, b = 5.7250 Å, c = 14.0957 Å
α = 90.00°, β = 90.00°, γ = 120.00°
Fractional positions:
In 0.6667 0.3333 0.8317
In 0.0000 0.0000 0.0000
In 0.0000 0.0000 0.5000
In 0.3333 0.6667 0.1683
Ac 0.3333 0.6667 0.4168
Ac 0.0000 0.0000 0.2552
Ac 0.6667 0.3333 0.5832
Ac 0.3333 0.6667 0.9114
Ac 0.0000 0.0000 0.7448
Ac 0.6667 0.3333 0.0886
Zn 0.3333 0.6667 0.6654
Zn 0.6667 0.3333 0.3346

Space-group type ... No. 164
Relative energy among the computed polymorphs ... 10 meV/atom
ΔH_f (0 K) ... -2.099 eV per formula unit


Record 6
Material: AcZn4In
Method: DFT, PBE
State: relaxed

a = 5.6936 Å, b = 5.6936 Å, c = 5.6936 Å
α = 60.00°, β = 60.00°, γ = 60.00°
Fractional positions:
In 0.0000 0.0000 0.0000
Zn 0.6251 0.1246 0.6251
Zn 0.1246 0.6251 0.6251
Zn 0.6251 0.6251 0.6251
Zn 0.6251 0.6251 0.1246
Ac 0.2500 0.2500 0.2500

Space-group type ... No. 216
Relative energy among the computed polymorphs ... 0 meV/atom
ΔH_f (0 K) ... -0.785 eV per formula unit


Record 7
Material: Ac4Zn2In5
Method: DFT, PBE
State: relaxed

a = 4.0110 Å, b = 8.2025 Å, c = 10.3697 Å
α = 94.57°, β = 90.00°, γ = 90.00°
Fractional positions:
In 0.0000 0.5566 0.3009
In 0.0000 0.8150 0.8377
In 0.0000 0.5000 0.0000
In 0.0000 0.4434 0.6991
In 0.0000 0.1850 0.1623
Zn 0.0000 0.9441 0.3733
Zn 0.0000 0.0559 0.6267
Ac 0.5000 0.1767 0.8732
Ac 0.5000 0.7393 0.5594
Ac 0.5000 0.2607 0.4406
Ac 0.5000 0.8233 0.1268

Space-group type ... No. 10
ΔH_f (0 K) ... -3.665 eV per formula unit


Record 8
Material: Ac5Zn2In2
Method: DFT, PBE
State: relaxed

a = 8.1783 Å, b = 8.6606 Å, c = 9.9174 Å
α = 115.89°, β = 90.00°, γ = 90.00°
Fractional positions:
Ac 0.1751 0.1780 0.7296
Ac 0.3249 0.6780 0.7296
Ac 0.6751 0.0516 0.7296
Ac 0.8249 0.5516 0.7296
Ac 0.3249 0.9484 0.2704
Ac 0.1751 0.4484 0.2704
Ac 0.8249 0.8220 0.2704
Ac 0.5000 0.5000 0.0000
Ac 0.6751 0.3220 0.2704
Ac 0.0000 0.0000 0.0000
Zn 0.8870 0.3883 0.0000
Zn 0.3870 0.1117 0.0000
Zn 0.1130 0.6117 0.0000
Zn 0.6130 0.8883 0.0000
In 0.5000 0.2819 0.5638
In 0.0000 0.2181 0.4362
In 0.5000 0.7181 0.4362
In 0.0000 0.7819 0.5638

Space-group type ... No. 64
ΔH_f (0 K) ... -2.058 eV per formula unit


Record 9
Material: Ac2ZnIn3
Method: DFT, PBE
State: relaxed

a = 5.0306 Å, b = 6.4335 Å, c = 6.4432 Å
α = 78.36°, β = 67.02°, γ = 66.99°
Fractional positions:
In 0.1619 0.7805 0.8957
In 0.8490 0.6143 0.6877
In 0.8248 0.2170 0.1335
Ac 0.5329 0.2128 0.7214
Ac 0.4633 0.7838 0.2895
Zn 0.1681 0.3917 0.2722

Space-group type ... No. 8
Relative energy among the computed polymorphs ... 0 meV/atom
ΔH_f (0 K) ... -2.576 eV per formula unit


Record 10
Material: Ac2Zn2In3
Method: DFT, PBE
State: relaxed

a = 4.9104 Å, b = 7.6009 Å, c = 10.7538 Å
α = 90.00°, β = 103.20°, γ = 90.00°
Fractional positions:
Ac 0.1649 0.2500 0.3297
Ac 0.8351 0.7500 0.6703
Ac 0.0481 0.7500 0.0961
Ac 0.9519 0.2500 0.9039
In 0.4358 0.9356 0.8715
In 0.4358 0.5644 0.8715
In 0.2206 0.7500 0.4411
In 0.5642 0.0644 0.1285
In 0.5642 0.4356 0.1285
In 0.7794 0.2500 0.5589
Zn 0.6847 0.5700 0.3693
Zn 0.3153 0.0700 0.6307
Zn 0.6847 0.9300 0.3693
Zn 0.3153 0.4300 0.6307

Space-group type ... No. 63
Relative energy among the computed polymorphs ... 0 meV/atom
ΔH_f (0 K) ... -2.641 eV per formula unit


Record 11
Material: Ac2Zn2In3
Method: DFT, PBE
State: relaxed

a = 3.8769 Å, b = 4.6410 Å, c = 11.3037 Å
α = 101.85°, β = 90.00°, γ = 90.00°
Fractional positions:
In 0.5000 0.4298 0.8595
In 0.0000 0.0000 0.0000
In 0.5000 0.5702 0.1405
Zn 0.5000 0.7203 0.4407
Zn 0.5000 0.2797 0.5593
Ac 0.0000 0.8400 0.6799
Ac 0.0000 0.1600 0.3201

Space-group type ... No. 65
Relative energy among the computed polymorphs ... 130 meV/atom
ΔH_f (0 K) ... -1.734 eV per formula unit


Record 12
Material: Ac6ZnIn5
Method: DFT, PBE
State: relaxed

a = 5.7796 Å, b = 8.1387 Å, c = 9.1451 Å
α = 90.00°, β = 71.58°, γ = 90.00°
Fractional positions:
In 0.6659 0.0000 0.6683
In 0.3317 0.5000 0.3365
In 0.6683 0.5000 0.6635
In 0.3341 0.0000 0.3317
In 0.0000 0.5000 0.0000
Ac 0.8361 0.7545 0.3279
Ac 0.5000 0.7562 0.0000
Ac 0.8361 0.2455 0.3279
Ac 0.1639 0.2455 0.6721
Ac 0.5000 0.2438 0.0000
Ac 0.1639 0.7545 0.6721
Zn 0.0000 0.0000 0.0000

Space-group type ... No. 65
ΔH_f (0 K) ... -4.621 eV per formula unit